First-principles (PBE) data for an optimized crystal structure of DyMn4Ga8, as listed in the Alexandria database.

The formation energy comes out at -257 meV/atom. The value obtained for the total moment is 8.62 μB/f.u. The calculation puts the volume at 15.44 Å³ per atom.

It has space group I4/mmm (No. 139), with a = 8.776 Å, b = 8.776 Å, c = 5.211 Å, α = 90.00°, β = 90.00° and γ = 90.00°. The distinct sites, in fractional coordinates, are Dy at (0.000, 0.000, 0.000), Mn at (0.250, 0.250, 0.250), Ga at (0.000, 0.227, 0.500) and Ga at (0.000, 0.333, 0.000).